Entry a
Ce4Tl3Pb | PBE | relaxed

abc: 7.3981 7.3981 7.5979
angles: 90.07 90.07 35.50
With the nearest neighbours (Å) after each atom.
Atoms (fractional coordinates):
Ce 0.1528 0.1528 0.1771  1 Ce 2.69
Ce 0.1532 0.1532 0.8233  1 Ce 2.69
Ce 0.8468 0.8468 0.1767  1 Ce 2.69
Ce 0.8472 0.8472 0.8229  1 Ce 2.69
Tl 0.3308 0.3308 0.5000  2 Tl 3.20, 2 Pb 3.28, 6 Ce 3.34-3.51
Tl 0.5000 0.5000 0.0000  8 Ce 3.39-3.40
Tl 0.6692 0.6692 0.5000  2 Tl 3.20, 2 Pb 3.28, 6 Ce 3.34-3.51
Pb 0.0000 0.0000 0.5000  4 Ce 3.27, 4 Tl 3.28

## Properties
- Crystal system: monoclinic
- Symmetry: C2/m (12)

Entry b
Ce4Tl3Pb | PBE | relaxed

abc: 7.8885 7.8885 7.8885
angles: 136.06 136.06 63.88
With the nearest neighbours (Å) after each atom.
Atoms (fractional coordinates):
Ce 0.1247 0.6247 0.5000  2 Ce 3.34-3.35, 6 Tl 3.38-3.41, 2 Pb 3.39
Ce 0.3753 0.8753 0.5000  2 Ce 3.34-3.35, 6 Tl 3.38-3.41, 2 Pb 3.39
Ce 0.6247 0.1247 0.5000  2 Ce 3.34-3.35, 6 Tl 3.38-3.41, 2 Pb 3.39
Ce 0.8753 0.3753 0.5000  2 Ce 3.34-3.35, 6 Tl 3.38-3.41, 2 Pb 3.39
Tl 0.0000 0.0000 0.0000  2 Tl 3.32, 8 Ce 3.39
Tl 0.2480 0.2480 0.0000  1 Tl 3.32, 1 Pb 3.37, 8 Ce 3.38-3.41
Tl 0.7520 0.7520 0.0000  1 Tl 3.32, 1 Pb 3.37, 8 Ce 3.38-3.41
Pb 0.5000 0.5000 0.0000  2 Tl 3.37, 8 Ce 3.39

## Properties
- Crystal system: tetragonal
- Symmetry: I4/mmm (139)

According to the calculations, the structures order from most to least stable as entry b, entry a.

Entry a
Ce2TlPb3 | PBE | relaxed

abc: 8.1724 8.1724 4.8629
angles: 90.00 90.00 147.09
With the nearest neighbours (Å) after each atom.
Atoms (fractional coordinates):
Ce 0.1504 0.8496 0.0000  8 Pb 3.30-3.66, 2 Tl 3.39
Ce 0.8496 0.1504 0.0000  8 Pb 3.30-3.66, 2 Tl 3.39
Tl 0.0000 0.0000 0.5000  8 Pb 3.36-3.59, 4 Ce 3.39
Pb 0.3252 0.6748 0.5000  4 Pb 3.30-3.66, 6 Ce 3.38-3.66, 2 Tl 3.59
Pb 0.5000 0.5000 0.0000  4 Ce 3.30, 4 Tl 3.36, 4 Pb 3.66
Pb 0.6748 0.3252 0.5000  4 Pb 3.30-3.66, 6 Ce 3.38-3.66, 2 Tl 3.59

## Properties
- Crystal system: orthorhombic
- Symmetry: Cmmm (65)

Entry b
Ce2TlPb3 | PBE | relaxed

abc: 6.8080 6.8080 6.8080
angles: 130.49 122.75 79.02
With the nearest neighbours (Å) after each atom.
Atoms (fractional coordinates):
Ce 0.1778 0.1778 0.0000  6 Pb 3.26-3.41, 1 Tl 3.38
Ce 0.8222 0.8222 0.0000  6 Pb 3.26-3.41, 1 Tl 3.38
Tl 0.5000 0.5000 0.0000  6 Pb 3.26-3.36, 2 Ce 3.38
Pb 0.0000 0.5000 0.5000  2 Tl 3.26, 4 Ce 3.41, 2 Pb 3.47
Pb 0.3303 0.8303 0.5000  4 Ce 3.26-3.27, 2 Tl 3.36, 2 Pb 3.47-3.57
Pb 0.6697 0.1697 0.5000  4 Ce 3.26-3.27, 2 Tl 3.36, 2 Pb 3.47-3.57

## Properties
- Crystal system: orthorhombic
- Symmetry: Immm (71)

According to the calculations, the structures order from most to least stable as entry a, entry b.

Entry a
Ce4Tl2Pb | PBE | relaxed

abc: 7.5731 7.5731 7.5731
angles: 132.83 132.83 68.93
With the nearest neighbours (Å) after each atom.
Atoms (fractional coordinates):
Ce 0.0000 0.5000 0.5000  2 Pb 3.03, 2 Ce 3.12
Ce 0.2500 0.7500 0.5000  2 Ce 3.12, 4 Tl 3.39
Ce 0.5000 0.0000 0.5000  2 Pb 3.03, 2 Ce 3.12
Ce 0.7500 0.2500 0.5000  2 Ce 3.12, 4 Tl 3.39
Tl 0.1290 0.1290 0.0000  1 Tl 3.22, 8 Ce 3.39-3.43
Tl 0.8710 0.8710 0.0000  1 Tl 3.22, 8 Ce 3.39-3.43
Pb 0.5000 0.5000 0.0000  4 Ce 3.03

## Properties
- Crystal system: tetragonal
- Symmetry: I4/mmm (139)

Entry b
Ce4Tl2Pb | PBE | relaxed

abc: 9.6251 9.6251 3.7395
angles: 90.00 90.00 144.08
With the nearest neighbours (Å) after each atom.
Atoms (fractional coordinates):
Ce 0.1692 0.8308 0.0000  2 Ce 2.68
Ce 0.2743 0.7257 0.5000  2 Ce 2.68
Ce 0.7257 0.2743 0.5000  2 Ce 2.68
Ce 0.8308 0.1692 0.0000  2 Ce 2.68
Tl 0.4221 0.5779 0.0000  1 Tl 2.85
Tl 0.5779 0.4221 0.0000  1 Tl 2.85
Pb 0.0000 0.0000 0.5000  4 Ce 3.62, 2 Pb 3.74, 8 Tl 3.79

## Properties
- Crystal system: orthorhombic
- Symmetry: Cmmm (65)

According to the calculations, the structures order from most to least stable as entry b, entry a.

Entry a
Ce6TlPb5 | PBE | relaxed

abc: 9.2457 9.2457 9.2457
angles: 148.17 120.59 68.99
With the nearest neighbours (Å) after each atom.
Atoms (fractional coordinates):
Ce 0.0835 0.3334 0.7501  7 Pb 3.42-3.45, 1 Tl 3.42, 4 Ce 3.59
Ce 0.2501 0.0000 0.2501  6 Pb 3.39-3.42, 2 Tl 3.42, 4 Ce 3.59
Ce 0.4167 0.6666 0.7501  7 Pb 3.42-3.45, 1 Tl 3.42, 4 Ce 3.59
Ce 0.5833 0.3334 0.2499  7 Pb 3.42-3.45, 1 Tl 3.42, 4 Ce 3.59
Ce 0.7499 0.0000 0.7499  6 Pb 3.39-3.42, 2 Tl 3.42, 4 Ce 3.59
Ce 0.9165 0.6666 0.2499  7 Pb 3.42-3.45, 1 Tl 3.42, 4 Ce 3.59
Tl 0.5000 0.5000 0.0000  8 Ce 3.42, 4 Pb 3.56
Pb 0.0000 0.5000 0.5000  8 Ce 3.42, 4 Pb 3.59
Pb 0.1664 0.1664 0.0000  8 Ce 3.42, 4 Pb 3.59-3.62
Pb 0.3358 0.8358 0.5000  8 Ce 3.39-3.45, 2 Tl 3.56, 2 Pb 3.62
Pb 0.6642 0.1642 0.5000  8 Ce 3.39-3.45, 2 Tl 3.56, 2 Pb 3.62
Pb 0.8336 0.8336 0.0000  8 Ce 3.42, 4 Pb 3.59-3.62

## Properties
- Crystal system: orthorhombic
- Symmetry: Immm (71)

Entry b
Ce6TlPb5 | PBE | relaxed

abc: 7.8810 7.8810 7.9337
angles: 99.50 99.50 119.80
With the nearest neighbours (Å) after each atom.
Atoms (fractional coordinates):
Ce 0.0749 0.4148 0.7455  5 Pb 3.20-3.23, 1 Tl 3.29
Ce 0.2439 0.2439 0.2521  5 Pb 3.17-3.22, 1 Tl 3.28
Ce 0.4148 0.0749 0.7455  5 Pb 3.20-3.23, 1 Tl 3.29
Ce 0.5852 0.9251 0.2545  5 Pb 3.20-3.23, 1 Tl 3.29
Ce 0.7561 0.7561 0.7479  5 Pb 3.17-3.22, 1 Tl 3.28
Ce 0.9251 0.5852 0.2545  5 Pb 3.20-3.23, 1 Tl 3.29
Tl 0.5000 0.5000 0.0000  6 Ce 3.28-3.29
Pb 0.0000 0.0000 0.5000  6 Ce 3.17-3.23
Pb 0.1674 0.8326 0.0000  6 Ce 3.22
Pb 0.3373 0.6627 0.5000  6 Ce 3.20-3.23
Pb 0.6627 0.3373 0.5000  6 Ce 3.20-3.23
Pb 0.8326 0.1674 0.0000  6 Ce 3.22

## Properties
- Crystal system: monoclinic
- Symmetry: C2/m (12)

According to the calculations, the structures order from most to least stable as entry a, entry b.